(1)
CaPb2Se2, relaxed, DFT PBE-GGA; calculated total energy = -3.993 eV per atom; raw formation energy = -0.72 eV per atom; Fermi-level density of states = 0.21 states/eV/atom
1.0
7.827 0.000 0.000
0.000 7.827 0.000
0.000 0.000 4.721
Ca Pb Se
2 4 4
Direct
0.000 0.000 0.000
0.500 0.500 0.000
0.164 0.336 0.500
0.336 0.836 0.500
0.664 0.164 0.500
0.836 0.664 0.500
0.170 0.670 0.000
0.330 0.170 0.000
0.670 0.830 0.000
0.830 0.330 0.000



(2)
CaPb3Se4, relaxed, DFT PBE-GGA; calculated total energy = -4.303 eV per atom; raw formation energy = -0.92 eV per atom
1.0
4.360 -6.157 0.000
4.360 6.157 0.000
0.000 0.000 4.347
Ca Pb Se
1 3 4
Direct
0.000 0.000 0.000
0.000 0.500 0.500
0.500 0.000 0.500
0.500 0.500 0.000
0.241 0.241 0.500
0.245 0.755 0.000
0.755 0.245 0.000
0.759 0.759 0.500



(3)
Ca2PbSe, relaxed, DFT PBE-GGA; calculated total energy = -3.662 eV per atom; polymorph energy (0 for the lowest one) = 325 meV per atom; raw formation energy = -0.86 eV per atom; Fermi-level density of states = 0.41 states/eV/atom
1.0
-2.083 3.202 4.535
2.083 -3.202 4.535
2.083 3.202 -4.535
Ca Pb Se
2 1 1
Direct
0.215 0.215 0.000
0.785 0.785 0.000
0.500 0.000 0.500
0.000 0.500 0.500



(4)
CaPb4Se5, relaxed, DFT PBE-GGA; calculated total energy = -4.277 eV per atom; raw formation energy = -0.85 eV per atom
1.0
-2.180 2.180 15.416
2.180 -2.180 15.416
2.180 2.180 -15.416
Ca Pb Se
1 4 5
Direct
0.000 0.000 0.000
0.200 0.200 0.000
0.401 0.401 0.000
0.599 0.599 0.000
0.800 0.800 0.000
0.097 0.097 0.000
0.300 0.300 0.000
0.500 0.500 0.000
0.700 0.700 0.000
0.903 0.903 0.000



(5)
CaSiPbSe4, relaxed, DFT PBE-GGA; calculated total energy = -4.465 eV per atom; raw formation energy = -0.88 eV per atom
1.0
6.963 0.000 0.000
0.000 6.925 0.000
-2.472 0.000 7.897
Ca Si Pb Se
2 2 2 8
Direct
0.250 0.250 0.061
0.750 0.750 0.939
0.233 0.750 0.809
0.767 0.250 0.191
0.229 0.250 0.564
0.771 0.750 0.436
0.006 0.002 0.754
0.006 0.498 0.754
0.410 0.750 0.088
0.414 0.750 0.622
0.586 0.250 0.378
0.590 0.250 0.912
0.994 0.502 0.246
0.994 0.998 0.246



(6)
CaSnPb2Se4, relaxed, DFT PBE-GGA; calculated total energy = -4.307 eV per atom; raw formation energy = -0.89 eV per atom; Fermi-level density of states = 0.01 states/eV/atom
1.0
7.497 0.000 0.000
0.000 4.319 0.000
-2.489 0.000 7.075
Ca Sn Pb Se
1 1 2 4
Direct
0.000 0.000 0.000
0.000 0.500 0.500
0.500 0.000 0.500
0.500 0.500 0.000
0.238 0.500 0.244
0.240 0.000 0.749
0.760 0.000 0.251
0.762 0.500 0.756



(7)
Ca2SnPb3Se6, relaxed, DFT PBE-GGA; calculated total energy = -4.354 eV per atom; raw formation energy = -1.02 eV per atom
1.0
9.432 -2.155 0.000
9.432 2.155 0.000
-2.020 0.000 8.429
Ca Sn Pb Se
2 1 3 6
Direct
0.167 0.167 0.333
0.833 0.833 0.667
0.500 0.500 0.000
0.167 0.167 0.832
0.500 0.500 0.500
0.833 0.833 0.168
0.004 0.004 0.246
0.330 0.330 0.424
0.335 0.335 0.908
0.665 0.665 0.092
0.670 0.670 0.576
0.996 0.996 0.754



(8)
Sr2CaPbSe, relaxed, DFT PBE-GGA; calculated total energy = -3.438 eV per atom; raw formation energy = -0.93 eV per atom; Fermi-level density of states = 0.06 states/eV/atom
1.0
5.841 0.000 0.000
0.000 5.841 0.000
0.000 0.000 5.543
Sr Ca Pb Se
2 1 1 1
Direct
0.000 0.500 0.000
0.500 0.000 0.000
0.000 0.000 0.500
0.500 0.500 0.500
0.000 0.000 0.000



- Number 3 is which compound?
  Ca2PbSe



- Which of these has the highest raw formation energy?
  CaPb2Se2



- Number 4 is which compound?
  CaPb4Se5